A plane-wave DFT calculation with PBE was carried out for a relaxed RbY2CrOs crystal.

Values from the calculation:
Formation enthalpy at 0 K, meV/atom: 783
Total magnetization, Bohr magnetons per cell: 2.04
E_tot, eV/atom: -6.17

a b c (Å): 5.503 5.503 4.528
angles (deg): 90.00 90.00 90.00
Fractional coordinates of all 5 atoms:
Rb 0.000 0.000 0.000
Y 0.000 0.500 0.500
Y 0.500 0.000 0.500
Cr 0.500 0.500 0.500
Os 0.500 0.500 0.000